PmNp3Se6: relaxed, GGA-PBE.

Geometry as CIF:
```
data_PmNp3Se6
_cell_length_a 10.603
_cell_length_b 4.255
_cell_length_c 16.452
_cell_angle_alpha 90.00
_cell_angle_beta 108.21
_cell_angle_gamma 90.00
_symmetry_space_group_name_H-M 'P 1 21/m 1'
_symmetry_Int_Tables_number 11
loop_
_symmetry_equiv_pos_as_xyz
'x,y,z'
'-x,-y,-z'
'-x,y+1/2,-z'
'x,-y+1/2,z'
loop_
_atom_site_label
_atom_site_fract_x
_atom_site_fract_y
_atom_site_fract_z
Pm1 0.115 0.250 0.439
Np1 0.436 0.750 0.294
Np2 0.452 0.750 0.922
Np3 0.500 0.250 0.854
Se1 0.077 0.250 0.603
Se2 0.225 0.750 0.346
Se3 0.290 0.250 0.931
Se4 0.313 0.250 0.158
Se5 0.365 0.750 0.736
Se6 0.396 0.250 0.554
```

Calculated values
E	-144.54	eV for the cell shown
total magnetization	7.31	μB/f.u.

PmNp6Se8: relaxed, GGA-PBE.

Geometry as CIF:
```
data_PmNp6Se8
_cell_length_a 11.589
_cell_length_b 11.589
_cell_length_c 11.589
_cell_angle_alpha 90.00
_cell_angle_beta 90.00
_cell_angle_gamma 90.00
_symmetry_space_group_name_H-M 'F m -3 m'
_symmetry_Int_Tables_number 225
_symmetry_space_group_name_Hall '-F 4 2 3'
loop_
_atom_site_label
_atom_site_fract_x
_atom_site_fract_y
_atom_site_fract_z
Pm1 0.000 0.000 0.000
Np1 0.000 0.250 0.250
Se1 0.000 0.000 0.256
Se2 0.250 0.250 0.250
```

Calculated values
E	-514.10	eV for the cell shown
total magnetization	26.11	μB/f.u.

Pm3NpSe4: relaxed, GGA-PBE.

Geometry as CIF:
```
data_Pm3NpSe4
_cell_length_a 5.895
_cell_length_b 5.895
_cell_length_c 11.836
_cell_angle_alpha 90.00
_cell_angle_beta 90.00
_cell_angle_gamma 90.00
_symmetry_space_group_name_H-M 'I 4/m m m'
_symmetry_Int_Tables_number 139
_symmetry_space_group_name_Hall '-I 4 2'
loop_
_atom_site_label
_atom_site_fract_x
_atom_site_fract_y
_atom_site_fract_z
Pm1 0.000 0.000 0.000
Pm2 0.000 0.500 0.250
Np1 0.000 0.000 0.500
Se1 0.000 0.000 0.253
Se2 0.000 0.500 0.000
```

Calculated values
E	-108.65	eV for the cell shown
total magnetization	4.87	μB/f.u.

PmSmNp2Se4: relaxed, GGA-PBE.

Geometry as CIF:
```
data_PmSmNp2Se4
_cell_length_a 7.174
_cell_length_b 4.139
_cell_length_c 7.177
_cell_angle_alpha 90.00
_cell_angle_beta 109.41
_cell_angle_gamma 90.00
_symmetry_space_group_name_H-M 'P 1 2/m 1'
_symmetry_Int_Tables_number 10
loop_
_symmetry_equiv_pos_as_xyz
'x,y,z'
'-x,-y,-z'
'-x,y,-z'
'x,-y,z'
loop_
_atom_site_label
_atom_site_fract_x
_atom_site_fract_y
_atom_site_fract_z
Pm1 0.000 0.000 0.000
Sm1 0.000 0.500 0.500
Np1 0.500 0.000 0.500
Np2 0.500 0.500 0.000
Se1 0.256 0.000 0.751
Se2 0.257 0.500 0.253
```

Calculated values
E	-60.94	eV for the cell shown
total magnetization	8.97	μB/f.u.

PmNp2Tl3Se6: relaxed, GGA-PBE.

Geometry as CIF:
```
data_PmNp2Tl3Se6
_cell_length_a 7.357
_cell_length_b 12.742
_cell_length_c 8.139
_cell_angle_alpha 90.00
_cell_angle_beta 107.53
_cell_angle_gamma 90.00
_symmetry_space_group_name_H-M 'C 1 2/m 1'
_symmetry_Int_Tables_number 12
loop_
_symmetry_equiv_pos_as_xyz
'x,y,z'
'-x,-y,-z'
'-x,y,-z'
'x,-y,z'
'x+1/2,y+1/2,z'
'-x+1/2,-y+1/2,-z'
'-x+1/2,y+1/2,-z'
'x+1/2,-y+1/2,z'
loop_
_atom_site_label
_atom_site_fract_x
_atom_site_fract_y
_atom_site_fract_z
Pm1 0.000 0.000 0.000
Np1 0.000 0.333 0.000
Tl1 0.000 0.166 0.500
Tl2 0.000 0.500 0.500
Se1 0.229 0.500 0.205
Se2 0.238 0.170 0.206
```

Calculated values
E	-142.59	eV for the cell shown
total magnetization	8.00	μB/f.u.

Pm3NpTl4Se8: relaxed, GGA-PBE.

Geometry as CIF:
```
data_Pm3NpTl4Se8
_cell_length_a 8.5660
_cell_length_b 8.5660
_cell_length_c 23.2333
_cell_angle_alpha 90.00
_cell_angle_beta 90.00
_cell_angle_gamma 120.00
_symmetry_space_group_name_H-M 'R -3 m'
_symmetry_Int_Tables_number 166
_symmetry_space_group_name_Hall '-R 3 2"'
loop_
_atom_site_label
_atom_site_fract_x
_atom_site_fract_y
_atom_site_fract_z
Pm1 0.0000 0.5000 0.0000
Np1 0.0000 0.0000 0.0000
Tl1 0.0000 0.0000 0.5000
Tl2 0.0000 0.5000 0.5000
Se1 0.0000 0.0000 0.2633
Se2 0.0031 0.5015 0.7360
```

Calculated values
E	-253.96	eV for the cell shown
total magnetization	4.00	μB/f.u.

PmNp3Tl3Se8: relaxed, GGA-PBE.

Geometry as CIF:
```
data_PmNp3Tl3Se8
_cell_length_a 8.4194
_cell_length_b 8.4194
_cell_length_c 23.2306
_cell_angle_alpha 90.00
_cell_angle_beta 90.00
_cell_angle_gamma 120.00
_symmetry_space_group_name_H-M 'R -3 m'
_symmetry_Int_Tables_number 166
_symmetry_space_group_name_Hall '-R 3 2"'
loop_
_atom_site_label
_atom_site_fract_x
_atom_site_fract_y
_atom_site_fract_z
Pm1 0.0000 0.0000 0.0000
Np1 0.0000 0.5000 0.0000
Tl1 0.0000 0.5000 0.5000
Se1 0.0000 0.0000 0.2660
Se2 0.0085 0.5042 0.2652
```

Calculated values
E	-283.91	eV for the cell shown
total magnetization	11.00	μB/f.u.

Pm2NpTl3Se6: relaxed, GGA-PBE.

Geometry as CIF:
```
data_Pm2NpTl3Se6
_cell_length_a 7.416
_cell_length_b 12.842
_cell_length_c 8.125
_cell_angle_alpha 90.00
_cell_angle_beta 107.72
_cell_angle_gamma 90.00
_symmetry_space_group_name_H-M 'C 1 2/m 1'
_symmetry_Int_Tables_number 12
loop_
_symmetry_equiv_pos_as_xyz
'x,y,z'
'-x,-y,-z'
'-x,y,-z'
'x,-y,z'
'x+1/2,y+1/2,z'
'-x+1/2,-y+1/2,-z'
'-x+1/2,y+1/2,-z'
'x+1/2,-y+1/2,z'
loop_
_atom_site_label
_atom_site_fract_x
_atom_site_fract_y
_atom_site_fract_z
Pm1 0.000 0.167 0.000
Np1 0.000 0.500 0.000
Tl1 0.000 0.000 0.500
Tl2 0.000 0.333 0.500
Se1 0.234 0.335 0.208
Se2 0.240 0.000 0.209
```

Calculated values
E	-130.05	eV for the cell shown
total magnetization	4.00	μB/f.u.

What did the fifth record say?
PmNp2Tl3Se6: relaxed, GGA-PBE.

Geometry as CIF:
```
data_PmNp2Tl3Se6
_cell_length_a 7.357
_cell_length_b 12.742
_cell_length_c 8.139
_cell_angle_alpha 90.00
_cell_angle_beta 107.53
_cell_angle_gamma 90.00
_symmetry_space_group_name_H-M 'C 1 2/m 1'
_symmetry_Int_Tables_number 12
loop_
_symmetry_equiv_pos_as_xyz
'x,y,z'
'-x,-y,-z'
'-x,y,-z'
'x,-y,z'
'x+1/2,y+1/2,z'
'-x+1/2,-y+1/2,-z'
'-x+1/2,y+1/2,-z'
'x+1/2,-y+1/2,z'
loop_
_atom_site_label
_atom_site_fract_x
_atom_site_fract_y
_atom_site_fract_z
Pm1 0.000 0.000 0.000
Np1 0.000 0.333 0.000
Tl1 0.000 0.166 0.500
Tl2 0.000 0.500 0.500
Se1 0.229 0.500 0.205
Se2 0.238 0.170 0.206
```

Calculated values
E	-142.59	eV for the cell shown
total magnetization	8.00	μB/f.u.

What did the first record say?
PmNp3Se6: relaxed, GGA-PBE.

Geometry as CIF:
```
data_PmNp3Se6
_cell_length_a 10.603
_cell_length_b 4.255
_cell_length_c 16.452
_cell_angle_alpha 90.00
_cell_angle_beta 108.21
_cell_angle_gamma 90.00
_symmetry_space_group_name_H-M 'P 1 21/m 1'
_symmetry_Int_Tables_number 11
loop_
_symmetry_equiv_pos_as_xyz
'x,y,z'
'-x,-y,-z'
'-x,y+1/2,-z'
'x,-y+1/2,z'
loop_
_atom_site_label
_atom_site_fract_x
_atom_site_fract_y
_atom_site_fract_z
Pm1 0.115 0.250 0.439
Np1 0.436 0.750 0.294
Np2 0.452 0.750 0.922
Np3 0.500 0.250 0.854
Se1 0.077 0.250 0.603
Se2 0.225 0.750 0.346
Se3 0.290 0.250 0.931
Se4 0.313 0.250 0.158
Se5 0.365 0.750 0.736
Se6 0.396 0.250 0.554
```

Calculated values
E	-144.54	eV for the cell shown
total magnetization	7.31	μB/f.u.

Q: What is the formula in the fifth record?
A: PmNp2Tl3Se6

Q: Which of these has the lowest E?
A: PmNp6Se8